(1)
A relaxed KTe2Cl crystal, computed with GGA-PBE.

a = 4.1964 Å, b = 6.8121 Å, c = 10.4832 Å
α = 90.00°, β = 90.00°, γ = 90.00°
With the nearest neighbours (Å) after each atom.
Space group Imm2 (No. 44)
Symmetry-distinct sites (fractional):
1 K 0.0000 0.0000 0.0000  2 Cl 3.08
2 Te 0.0000 0.0000 0.4195  2 Te 2.88, 2 Cl 3.00
3 Te 0.0000 0.5000 0.1083  2 Te 2.88
4 Cl 0.0000 0.5000 0.7153  2 Te 3.00, 2 K 3.08

Summary:
As for the uncorrected formation energy: -0.70 eV/atom. The energy above the lowest structure with this stoichiometry comes out at 145.5 meV per atom. The total moment is 0.0 μB/cell. The calculation puts the total energy at -3.010 eV/atom.



(2)
A relaxed Tb6Pr5In crystal, computed with GGA-PBE.

a = 5.0612 Å, b = 10.1701 Å, c = 15.2319 Å
α = 90.00°, β = 90.00°, γ = 90.00°
With the nearest neighbours (Å) after each atom.
Space group Immm (No. 71)
Symmetry-distinct sites (fractional):
1 Tb 0.0000 0.2433 0.0000  2 In 3.54, 6 Pr 3.55-3.64, 4 Tb 3.55
2 Tb 0.0000 0.2556 0.3364  1 In 3.52, 7 Pr 3.55-3.66, 4 Tb 3.55-3.65
3 Pr 0.0000 0.0000 0.1671  8 Tb 3.55-3.66, 2 In 3.59, 2 Pr 3.61
4 Pr 0.0000 0.0000 0.5000  4 Pr 3.55, 8 Tb 3.60-3.64
5 Pr 0.0000 0.5000 0.1637  4 Pr 3.55-3.61, 8 Tb 3.61-3.63
6 In 0.0000 0.5000 0.5000  8 Tb 3.52-3.54, 4 Pr 3.59

Summary:
The total moment is 0.0 μB/cell. For the energy of formation, the calculation gives -0.051 eV/atom. The calculation puts the total energy at -4.585 eV/atom.



(3)
A relaxed K2MnBeCl6 crystal, computed with GGA-PBE.

a = 7.1896 Å, b = 7.1896 Å, c = 22.8732 Å
α = 90.00°, β = 90.00°, γ = 120.00°
With the nearest neighbours (Å) after each atom.
Space group R3 (No. 146, hexagonal axes)
Symmetry-distinct sites (fractional):
1 K 0.0000 0.0000 0.0000  6 Cl 3.15-3.24
2 K 0.0000 0.0000 0.4946  6 Cl 3.15-3.24
3 Mn 0.0000 0.0000 0.2471  3 Cl 2.27
4 Be 0.0000 0.0000 0.7470  3 Cl 1.93
5 Cl 0.0177 0.6682 0.9137  1 Mn 2.27
6 Cl 0.0659 0.3973 0.4136  1 Be 1.93

Summary:
As for the uncorrected formation energy: -1.51 eV/atom. The total moment is 15.0 μB/cell. The calculation puts the total energy at -4.128 eV/atom.



(4)
A relaxed Li3Pa4TlS12 crystal, computed with GGA-PBE.

a = 9.9359 Å, b = 9.9359 Å, c = 9.9359 Å
α = 90.00°, β = 90.00°, γ = 90.00°
With the nearest neighbours (Å) after each atom.
Space group Im-3 (No. 204)
Symmetry-distinct sites (fractional):
1 Li 0.0000 0.0000 0.5000  4 S 2.61
2 Pa 0.2500 0.2500 0.2500  6 S 2.64
3 Tl 0.0000 0.0000 0.0000  12 S 3.54
4 S 0.0000 0.1798 0.3080  1 Li 2.61, 2 Pa 2.64

Summary:
As for the uncorrected formation energy: -1.38 eV/atom. The total moment is 0.0 μB/cell. The calculation puts the total energy at -6.163 eV/atom.



(5)
A relaxed BeRe2Ir crystal, computed with GGA-PBE.

a = 3.6471 Å, b = 3.6471 Å, c = 8.2156 Å
α = 90.00°, β = 90.00°, γ = 90.00°
With the nearest neighbours (Å) after each atom.
Space group I4/mmm (No. 139)
Symmetry-distinct sites (fractional):
1 Be 0.0000 0.0000 0.0000  4 Ir 2.58, 8 Re 2.75
2 Re 0.0000 0.5000 0.2500  4 Re 2.58, 4 Be 2.75, 4 Ir 2.75
3 Ir 0.0000 0.0000 0.5000  4 Be 2.58, 8 Re 2.75

Summary:
The total moment is 0.0 μB/cell. For the energy of formation, the calculation gives 0.019 eV/atom. The calculation puts the total energy at -9.352 eV/atom.



(6)
A relaxed Ac6Ni2RuAu crystal, computed with GGA-PBE.

a = 7.5242 Å, b = 7.5272 Å, c = 8.2435 Å
α = 62.87°, β = 62.89°, γ = 60.04°
With the nearest neighbours (Å) after each atom.
Space group P1 (No. 1)
Symmetry-distinct sites (fractional):
1 Ac 0.0000 0.0000 0.0000  1 Ru 2.97, 2 Ni 2.99-3.02, 1 Au 3.19
2 Ac 0.1366 0.5242 0.5218  1 Ru 2.95, 2 Ni 3.03-3.04, 1 Au 3.19
3 Ac 0.2807 0.3810 0.9999  1 Ru 2.97, 2 Ni 2.99-3.02, 1 Au 3.19
4 Ac 0.4787 0.8554 0.5218  1 Ru 2.95, 2 Ni 3.03-3.04, 1 Au 3.20
5 Ac 0.6613 0.7194 0.9994  1 Ru 2.97, 2 Ni 2.99-3.02, 1 Au 3.20
6 Ac 0.8061 0.1975 0.5219  1 Ru 2.95, 2 Ni 3.03-3.04, 1 Au 3.19
7 Ni 0.3924 0.1121 0.7650  6 Ac 2.99-3.04
8 Ni 0.8896 0.6092 0.2727  6 Ac 3.02-3.03
9 Ru 0.0685 0.7872 0.7373  6 Ac 2.95-2.97
10 Au 0.5672 0.2860 0.2415  6 Ac 3.19-3.20

Summary:
The total moment is 0.0 μB/cell. For the energy of formation, the calculation gives -0.281 eV/atom. The calculation puts the total energy at -5.158 eV/atom.



Repeat the second record exactly.
A relaxed Tb6Pr5In crystal, computed with GGA-PBE.

a = 5.0612 Å, b = 10.1701 Å, c = 15.2319 Å
α = 90.00°, β = 90.00°, γ = 90.00°
With the nearest neighbours (Å) after each atom.
Space group Immm (No. 71)
Symmetry-distinct sites (fractional):
1 Tb 0.0000 0.2433 0.0000  2 In 3.54, 6 Pr 3.55-3.64, 4 Tb 3.55
2 Tb 0.0000 0.2556 0.3364  1 In 3.52, 7 Pr 3.55-3.66, 4 Tb 3.55-3.65
3 Pr 0.0000 0.0000 0.1671  8 Tb 3.55-3.66, 2 In 3.59, 2 Pr 3.61
4 Pr 0.0000 0.0000 0.5000  4 Pr 3.55, 8 Tb 3.60-3.64
5 Pr 0.0000 0.5000 0.1637  4 Pr 3.55-3.61, 8 Tb 3.61-3.63
6 In 0.0000 0.5000 0.5000  8 Tb 3.52-3.54, 4 Pr 3.59

Summary:
The total moment is 0.0 μB/cell. For the energy of formation, the calculation gives -0.051 eV/atom. The calculation puts the total energy at -4.585 eV/atom.



What did the sixth record say?
A relaxed Ac6Ni2RuAu crystal, computed with GGA-PBE.

a = 7.5242 Å, b = 7.5272 Å, c = 8.2435 Å
α = 62.87°, β = 62.89°, γ = 60.04°
With the nearest neighbours (Å) after each atom.
Space group P1 (No. 1)
Symmetry-distinct sites (fractional):
1 Ac 0.0000 0.0000 0.0000  1 Ru 2.97, 2 Ni 2.99-3.02, 1 Au 3.19
2 Ac 0.1366 0.5242 0.5218  1 Ru 2.95, 2 Ni 3.03-3.04, 1 Au 3.19
3 Ac 0.2807 0.3810 0.9999  1 Ru 2.97, 2 Ni 2.99-3.02, 1 Au 3.19
4 Ac 0.4787 0.8554 0.5218  1 Ru 2.95, 2 Ni 3.03-3.04, 1 Au 3.20
5 Ac 0.6613 0.7194 0.9994  1 Ru 2.97, 2 Ni 2.99-3.02, 1 Au 3.20
6 Ac 0.8061 0.1975 0.5219  1 Ru 2.95, 2 Ni 3.03-3.04, 1 Au 3.19
7 Ni 0.3924 0.1121 0.7650  6 Ac 2.99-3.04
8 Ni 0.8896 0.6092 0.2727  6 Ac 3.02-3.03
9 Ru 0.0685 0.7872 0.7373  6 Ac 2.95-2.97
10 Au 0.5672 0.2860 0.2415  6 Ac 3.19-3.20

Summary:
The total moment is 0.0 μB/cell. For the energy of formation, the calculation gives -0.281 eV/atom. The calculation puts the total energy at -5.158 eV/atom.